1.
Ba2CaNbCl: optimized geometry, GGA-PBE.

It has space group P4/mmm (No. 123), with a = 6.954 Å, b = 6.954 Å, c = 4.805 Å, α = 90.00°, β = 90.00° and γ = 90.00°. The inequivalent atoms are Ba at (0.000, 0.500, 0.000), Ca at (0.000, 0.000, 0.500), Nb at (0.500, 0.500, 0.000) and Cl at (0.500, 0.500, 0.500).

As for the volume: 46.5 Å³/atom. The density of states at the Fermi level comes out at 1.237 states/eV/atom. As for the formation energy (no corrections): 0.322 eV/atom. As for the energy: -3.23 eV/atom.

---

2.
InTcW2: optimized geometry, GGA-PBE.

It has space group P4/mmm (No. 123), with a = 3.388 Å, b = 3.388 Å, c = 5.995 Å, α = 90.00°, β = 90.00° and γ = 90.00°. The inequivalent atoms are In at (0.000, 0.000, 0.000), Tc at (0.000, 0.000, 0.500) and W at (0.500, 0.500, 0.285).

As for the volume: 17.2 Å³/atom. The value obtained for the energy relative to the lowest polymorph listed for this composition is 0.254 eV/atom. The calculation puts the formation energy at 0.543 eV per atom. The density of states at the Fermi level comes out at 1.001 states/eV/atom. As for the energy: -9.21 eV/atom.

---

3.
CdOsBr2: optimized geometry, GGA-PBE.

It has space group Fm-3m (No. 225), with a = 6.979 Å, b = 6.979 Å, c = 6.979 Å, α = 90.00°, β = 90.00° and γ = 90.00°. The inequivalent atoms are Cd at (0.000, 0.000, 0.000), Os at (0.000, 0.000, 0.500) and Br at (0.250, 0.250, 0.250).

As for the volume: 21.2 Å³/atom. The value obtained for the energy relative to the lowest polymorph listed for this composition is 0.856 eV/atom. The density of states at the Fermi level comes out at 0.405 states/eV/atom. As for the formation energy (no corrections): 1.088 eV/atom. As for the energy: -2.78 eV/atom.

---

4.
Pm2PuTe4: optimized geometry, GGA-PBE.

It has space group Cmcm (No. 63), with a = 4.381 Å, b = 14.611 Å, c = 15.187 Å, α = 90.00°, β = 90.00° and γ = 90.00°. The inequivalent atoms are Pm at (0.000, 0.134, 0.068), Pu at (0.000, 0.380, 0.250), Te at (0.000, 0.037, 0.250), Te at (0.000, 0.223, 0.625) and Te at (0.000, 0.500, 0.000).

As for the volume: 34.7 Å³/atom. The value obtained for the energy relative to the lowest polymorph listed for this composition is 0.047 eV/atom. The density of states at the Fermi level comes out at 2.569 states/eV/atom. As for the formation energy (no corrections): -1.285 eV/atom. As for the energy: -6.48 eV/atom.

---

5.
Ir2Au: optimized geometry, GGA-PBE.

It has space group I4/mmm (No. 139), with a = 3.391 Å, b = 3.391 Å, c = 8.284 Å, α = 90.00°, β = 90.00° and γ = 90.00°. The inequivalent atoms are Ir at (0.000, 0.000, 0.174) and Au at (0.000, 0.000, 0.500).

As for the volume: 15.9 Å³/atom. The value obtained for the energy relative to the lowest polymorph listed for this composition is 0.270 eV/atom. The calculation puts the formation energy at 0.493 eV per atom. The density of states at the Fermi level comes out at 1.006 states/eV/atom. As for the energy: -6.51 eV/atom.

---

6.
AgMo4Se: optimized geometry, GGA-PBE.

It has space group F-43m (No. 216), with a = 7.505 Å, b = 7.505 Å, c = 7.505 Å, α = 90.00°, β = 90.00° and γ = 90.00°. The inequivalent atoms are Ag at (0.000, 0.000, 0.000), Mo at (0.127, 0.127, 0.373) and Se at (0.250, 0.250, 0.750).

As for the volume: 17.6 Å³/atom. The density of states at the Fermi level comes out at 1.157 states/eV/atom. As for the formation energy (no corrections): 0.699 eV/atom. As for the energy: -7.58 eV/atom.

---

Calculated values (g/cm3) of ρ for the records, taken in order: 3.2 14.0 9.0 7.1 20.3 9.0.